An optimized crystal structure of CsPu2Cl8, computed with PBE-GGA.

Properties
ΔE to the lowest computed polymorph ... 0.068 eV per atom
Raw total energy ... -5.756 eV per atom
Magnetization ... 9.00 Bohr magnetons per cell
Uncorrected formation energy ... -1.7294 eV per atom

a b c (Å): 5.3812 9.9739 9.9748
angles (deg): 120.00 90.01 90.01
Last column: magnetic moment on the atom in μB.
Fractional coordinates of all 11 atoms:
Cs (0.0000, 0.0000, 0.0000)  0.00
Pu (0.2798, 0.3334, 0.6667)  4.66
Pu (0.7202, 0.6666, 0.3333)  4.66
Cl (0.2193, 0.6666, 0.3333)  -0.07
Cl (0.7807, 0.3334, 0.6667)  -0.07
Cl (0.7172, 0.8122, 0.1843)  -0.06
Cl (0.2827, 0.1843, 0.3721)  -0.06
Cl (0.2829, 0.6280, 0.8123)  -0.06
Cl (0.2828, 0.1878, 0.8157)  -0.06
Cl (0.7174, 0.8157, 0.6279)  -0.06
Cl (0.7171, 0.3720, 0.1877)  -0.06